No. 1
Here is a geometry-optimized HfPd2Pt2 structure from the Alexandria database. Energies are from GGA-PBE.

It has space group P6_3/mmc (No. 194), with a = 4.4444 Å, b = 4.4444 Å, c = 10.4319 Å, α = 90.00°, β = 90.00° and γ = 120.00°. The asymmetric unit holds Hf at (0.0000, 0.0000, 0.2500), Pd at (0.3333, 0.6667, 0.1045), Pt at (0.0000, 0.0000, 0.0000) and Pt at (0.3333, 0.6667, 0.7500).

The density of states at the Fermi level is 0.254 states/eV per atom. Its energy above the most stable polymorph in this dataset is 0.230 eV/f.u. The calculation puts the volume at 178.5 Å³ per cell. For the formation energy, the calculation gives -201 kJ/mol of formula units.

No. 2
Here is a geometry-optimized Hf2PdPt9 structure from the Alexandria database. Energies are from GGA-PBE.

It has space group P4/mmm (No. 123), with a = 4.005 Å, b = 4.005 Å, c = 12.068 Å, α = 90.00°, β = 90.00° and γ = 90.00°. The asymmetric unit holds Hf at (0.000, 0.000, 0.172), Pd at (0.000, 0.000, 0.500), Pt at (0.000, 0.500, 0.000), Pt at (0.000, 0.500, 0.332), Pt at (0.500, 0.500, 0.166) and Pt at (0.500, 0.500, 0.500).

The density of states at the Fermi level is 0.965 states/eV per atom. The calculation puts the volume at 193.6 Å³ per cell. For the formation energy, the calculation gives -880 kJ/mol of formula units.

No. 3
Here is a geometry-optimized Hf2PdPt2 structure from the Alexandria database. Energies are from GGA-PBE.

It has space group P4/mbm (No. 127), with a = 7.649 Å, b = 7.649 Å, c = 3.216 Å, α = 90.00°, β = 90.00° and γ = 90.00°. The asymmetric unit holds Hf at (0.161, 0.339, 0.000), Pd at (0.000, 0.000, 0.000) and Pt at (0.135, 0.635, 0.500).

The density of states at the Fermi level is 0.684 states/eV per atom. Its energy above the most stable polymorph in this dataset is 0.945 eV/f.u. The calculation puts the volume at 188.2 Å³ per cell. For the formation energy, the calculation gives -381 kJ/mol of formula units.

No. 4
Here is a geometry-optimized HfPd5Pt2 structure from the Alexandria database. Energies are from GGA-PBE.

It has space group Pbam (No. 55), with a = 5.655 Å, b = 11.312 Å, c = 3.974 Å, α = 90.00°, β = 90.00° and γ = 90.00°. The asymmetric unit holds Hf at (0.000, 0.000, 0.000), Pd at (0.000, 0.500, 0.000), Pd at (0.004, 0.246, 0.000), Pd at (0.249, 0.875, 0.500) and Pt at (0.250, 0.122, 0.500).

The density of states at the Fermi level is 1.104 states/eV per atom. Its energy above the most stable polymorph in this dataset is 0.000 eV/f.u. The calculation puts the volume at 254.2 Å³ per cell. For the formation energy, the calculation gives -404 kJ/mol of formula units.

No. 5
Here is a geometry-optimized HfPd5Pt4 structure from the Alexandria database. Energies are from GGA-PBE.

It has space group C2/m (No. 12), with a = 13.714 Å, b = 4.106 Å, c = 7.057 Å, α = 90.00°, β = 120.11° and γ = 90.00°. The asymmetric unit holds Hf at (0.000, 0.000, 0.000), Pd at (0.000, 0.000, 0.500), Pd at (0.168, 0.500, 0.719), Pd at (0.171, 0.500, 0.109), Pt at (0.027, 0.500, 0.277) and Pt at (0.179, 0.000, 0.423).

The density of states at the Fermi level is 0.942 states/eV per atom. Its energy above the most stable polymorph in this dataset is 0.000 eV/f.u. The calculation puts the volume at 343.8 Å³ per cell. For the formation energy, the calculation gives -224 kJ/mol of formula units.

No. 6
Here is a geometry-optimized HfPd5Pt6 structure from the Alexandria database. Energies are from GGA-PBE.

It has space group P2/m (No. 10), with a = 4.874 Å, b = 5.663 Å, c = 6.863 Å, α = 90.00°, β = 90.45° and γ = 90.00°. The asymmetric unit holds Hf at (0.000, 0.000, 0.000), Pd at (0.000, 0.500, 0.000), Pd at (0.333, 0.000, 0.332), Pd at (0.337, 0.500, 0.330), Pt at (0.164, 0.250, 0.668) and Pt at (0.500, 0.250, 0.000).

The density of states at the Fermi level is 1.655 states/eV per atom. The calculation puts the volume at 189.4 Å³ per cell. For the formation energy, the calculation gives -441 kJ/mol of formula units.

No. 7
Here is a geometry-optimized HfPdPt structure from the Alexandria database. Energies are from GGA-PBE.

It has space group P3m1 (No. 156), with a = 4.5206 Å, b = 4.5206 Å, c = 2.8993 Å, α = 90.00°, β = 90.00° and γ = 120.00°. The asymmetric unit holds Hf at (0.0000, 0.0000, 0.0000), Pd at (0.6667, 0.3333, 0.2819) and Pt at (0.3333, 0.6667, 0.6652).

The density of states at the Fermi level is 0.664 states/eV per atom. Its energy above the most stable polymorph in this dataset is 0.652 eV/f.u. The calculation puts the volume at 51.3 Å³ per cell. For the formation energy, the calculation gives -219 kJ/mol of formula units.

No. 8
Here is a geometry-optimized Hf2PdPt2 structure from the Alexandria database. Energies are from GGA-PBE.

It has space group P4/mbm (No. 127), with a = 7.423 Å, b = 7.423 Å, c = 3.338 Å, α = 90.00°, β = 90.00° and γ = 90.00°. The asymmetric unit holds Hf at (0.168, 0.332, 0.000), Pd at (0.000, 0.000, 0.500) and Pt at (0.134, 0.634, 0.500).

The density of states at the Fermi level is 0.596 states/eV per atom. Its energy above the most stable polymorph in this dataset is 0.000 eV/f.u. The calculation puts the volume at 183.9 Å³ per cell. For the formation energy, the calculation gives -472 kJ/mol of formula units.